(1)
A relaxed structure of Y5Er2Mg. Source: OQMD via LeMat-Bulk, functional PBE.

As for the total energy: -5.3517 eV per atom.

It has space group Amm2 (No. 38), with a = 5.6085 Å, b = 7.1327 Å, c = 12.3257 Å, α = 90.00°, β = 90.00° and γ = 90.00°. Symmetry generates all atoms from Y at (0.0000, 0.0000, 0.0000), Y at (0.0000, 0.2487, 0.2518), Y at (0.5000, 0.2465, 0.0822), Er at (0.0000, 0.0000, 0.4996), Er at (0.5000, 0.0000, 0.8370) and Mg at (0.5000, 0.0000, 0.3337).

***

(2)
A relaxed structure of Y2ErMg. Source: OQMD via LeMat-Bulk, functional PBE.

As for the total energy: -4.7314 eV per atom. The calculation puts the relative energy among the computed polymorphs at 24 meV/atom.

It has space group Ama2 (No. 40), with a = 5.5673 Å, b = 12.1134 Å, c = 7.0432 Å, α = 90.00°, β = 90.00° and γ = 90.00°. Symmetry generates all atoms from Y at (0.2500, 0.0813, 0.0000), Y at (0.2500, 0.3349, 0.7522), Er at (0.2500, 0.3352, 0.2522) and Mg at (0.2500, 0.0864, 0.5031).

***

(3)
A relaxed structure of YErMg. Source: OQMD via LeMat-Bulk, functional PBE.

As for the total energy: -4.2451 eV per atom. The calculation puts the relative energy among the computed polymorphs at 22 meV/atom.

It has space group Cmcm (No. 63), with a = 3.6582 Å, b = 17.1337 Å, c = 5.4545 Å, α = 90.00°, β = 90.00° and γ = 90.00°. Symmetry generates all atoms from Y at (0.0000, 0.2261, 0.2500), Er at (0.0000, 0.0919, 0.7500) and Mg at (0.0000, 0.4339, 0.7500).

***

(4)
A relaxed structure of Y3Er2Mg3. Source: OQMD via LeMat-Bulk, functional PBE.

As for the total energy: -4.1444 eV per atom. The calculation puts the relative energy among the computed polymorphs at 0 meV/atom.

It has space group Pm (No. 6), with a = 6.8537 Å, b = 5.5131 Å, c = 6.8849 Å, α = 90.00°, β = 118.97° and γ = 90.00°. Symmetry generates all atoms from Y at (0.0000, 0.0000, 0.0000), Y at (0.0097, 0.0000, 0.4966), Y at (0.6750, 0.5000, 0.3166), Er at (0.1835, 0.5000, 0.8208), Er at (0.5008, 0.0000, 0.4996), Mg at (0.1769, 0.5000, 0.3240), Mg at (0.5006, 0.0000, 0.9987) and Mg at (0.6733, 0.5000, 0.8212).

***

(5)
A relaxed structure of Y3Er2Mg3. Source: OQMD via LeMat-Bulk, functional PBE.

As for the total energy: -4.0803 eV per atom. The calculation puts the relative energy among the computed polymorphs at 64 meV/atom.

It has space group P-6m2 (No. 187), with a = 6.9169 Å, b = 6.9169 Å, c = 5.5573 Å, α = 90.00°, β = 90.00° and γ = 120.00°. Symmetry generates all atoms from Y at (0.0023, 0.5012, 0.0000), Er at (0.0000, 0.0000, 0.0000), Er at (0.3333, 0.6667, 0.5000) and Mg at (0.3402, 0.1701, 0.5000).

***

(6)
A relaxed structure of Y2ErMg. Source: OQMD via LeMat-Bulk, functional PBE.

As for the total energy: -4.7558 eV per atom. The calculation puts the relative energy among the computed polymorphs at 0 meV/atom.

It has space group Cmcm (No. 63), with a = 7.0327 Å, b = 12.1050 Å, c = 5.5426 Å, α = 90.00°, β = 90.00° and γ = 90.00°. Symmetry generates all atoms from Y at (0.2457, 0.0864, 0.2500), Er at (0.0000, 0.3303, 0.2500) and Mg at (0.0000, 0.1669, 0.7500).

***

(7)
A relaxed structure of YErMg. Source: OQMD via LeMat-Bulk, functional PBE.

As for the total energy: -3.7726 eV per atom. The calculation puts the relative energy among the computed polymorphs at 494 meV/atom.

It has space group F-43m (No. 216), with a = 7.3652 Å, b = 7.3652 Å, c = 7.3652 Å, α = 90.00°, β = 90.00° and γ = 90.00°. Symmetry generates all atoms from Y at (0.0000, 0.0000, 0.0000), Er at (0.0000, 0.0000, 0.5000) and Mg at (0.2500, 0.2500, 0.7500).

***

(8)
A relaxed structure of Y3Er2Mg3. Source: OQMD via LeMat-Bulk, functional PBE.

As for the total energy: -4.1030 eV per atom. The calculation puts the relative energy among the computed polymorphs at 41 meV/atom.

It has space group Amm2 (No. 38), with a = 5.5459 Å, b = 7.0996 Å, c = 11.6762 Å, α = 90.00°, β = 90.00° and γ = 90.00°. Symmetry generates all atoms from Y at (0.0000, 0.0000, 0.0000), Y at (0.5000, 0.2481, 0.5697), Er at (0.0000, 0.0000, 0.4789), Er at (0.5000, 0.0000, 0.8201), Mg at (0.0000, 0.2269, 0.7374) and Mg at (0.5000, 0.0000, 0.3165).

***

(9)
A relaxed structure of YErMg. Source: OQMD via LeMat-Bulk, functional PBE.

As for the total energy: -4.2667 eV per atom. The calculation puts the relative energy among the computed polymorphs at 0 meV/atom.

It has space group Cmcm (No. 63), with a = 3.6592 Å, b = 17.1337 Å, c = 5.4426 Å, α = 90.00°, β = 90.00° and γ = 90.00°. Symmetry generates all atoms from Y at (0.0000, 0.0923, 0.2500), Er at (0.0000, 0.2273, 0.7500) and Mg at (0.0000, 0.4331, 0.2500).

***

(10)
A relaxed structure of ErMo. Source: OQMD via LeMat-Bulk, functional PBE.

For the formation energy from the elements, the calculation gives 1.316 eV per atom. As for the total energy: -6.3902 eV per atom. The calculation puts the relative energy among the computed polymorphs at 659 meV/atom.

It has space group Fm-3m (No. 225), with a = 5.6965 Å, b = 5.6965 Å, c = 5.6965 Å, α = 90.00°, β = 90.00° and γ = 90.00°. Symmetry generates all atoms from Er at (0.0000, 0.0000, 0.0000) and Mo at (0.0000, 0.0000, 0.5000).

***

(11)
A relaxed structure of ErMo. Source: OQMD via LeMat-Bulk, functional PBE.

For the formation energy from the elements, the calculation gives 2.419 eV per atom. As for the total energy: -5.2869 eV per atom. The calculation puts the relative energy among the computed polymorphs at 1762 meV/atom.

It has space group F-43m (No. 216), with a = 6.4001 Å, b = 6.4001 Å, c = 6.4001 Å, α = 90.00°, β = 90.00° and γ = 90.00°. Symmetry generates all atoms from Er at (0.0000, 0.0000, 0.0000) and Mo at (0.2500, 0.2500, 0.7500).

***

(12)
A relaxed structure of ErMo. Source: OQMD via LeMat-Bulk, functional PBE.

For the formation energy from the elements, the calculation gives 0.657 eV per atom. As for the total energy: -7.0488 eV per atom. The calculation puts the relative energy among the computed polymorphs at 0 meV/atom.

It has space group P-6m2 (No. 187), with a = 3.1024 Å, b = 3.1024 Å, c = 5.0171 Å, α = 90.00°, β = 90.00° and γ = 120.00°. Symmetry generates all atoms from Er at (0.0000, 0.0000, 0.0000) and Mo at (0.6667, 0.3333, 0.5000).